Entry 1:
# PBE-GGA Tb3ScSb2, relaxed
data_Tb3ScSb2
_cell_length_a 4.423
_cell_length_b 4.423
_cell_length_c 8.395
_cell_angle_alpha 90.00
_cell_angle_beta 90.00
_cell_angle_gamma 90.00
_space_group_name_H-M_alt 'P -4 m 2'
_space_group_IT_number 115
loop_
_space_group_symop_operation_xyz
'x,y,z'
'y,-x,-z'
'-x,-y,z'
'-y,x,-z'
'-x,y,z'
'-y,-x,-z'
'x,-y,z'
'y,x,-z'
loop_
_atom_site_label
_atom_site_type_symbol
_atom_site_fract_x
_atom_site_fract_y
_atom_site_fract_z
Tb1 Tb 0.000 0.000 0.000
Tb2 Tb 0.000 0.500 0.650
Sc1 Sc 0.500 0.500 0.000
Sb1 Sb 0.000 0.500 0.274
# Raw formation energy (eV/atom): -0.83
# DFT total energy (eV for the cell shown): -33.43

---

Entry 2:
# PBE-GGA Tb4ScSb5, relaxed
data_Tb4ScSb5
_cell_length_a 4.366
_cell_length_b 4.366
_cell_length_c 30.771
_cell_angle_alpha 90.00
_cell_angle_beta 90.00
_cell_angle_gamma 90.00
_space_group_name_H-M_alt 'I 4/m m m'
_space_group_IT_number 139
_space_group_name_Hall '-I 4 2'
loop_
_atom_site_label
_atom_site_type_symbol
_atom_site_fract_x
_atom_site_fract_y
_atom_site_fract_z
Tb1 Tb 0.000 0.000 0.099
Tb2 Tb 0.000 0.000 0.301
Sc1 Sc 0.000 0.000 0.500
Sb1 Sb 0.000 0.000 0.000
Sb2 Sb 0.000 0.000 0.200
Sb3 Sb 0.000 0.000 0.403
# Raw formation energy (eV/atom): -1.09
# DFT total energy (eV for the cell shown): -112.76

---

Entry 3:
# PBE-GGA TbScSb, relaxed
data_TbScSb
_cell_length_a 5.2746
_cell_length_b 5.2746
_cell_length_c 22.2262
_cell_angle_alpha 90.00
_cell_angle_beta 90.00
_cell_angle_gamma 120.00
_space_group_name_H-M_alt 'R -3 m'
_space_group_IT_number 166
_space_group_name_Hall '-R 3 2"'
loop_
_atom_site_label
_atom_site_type_symbol
_atom_site_fract_x
_atom_site_fract_y
_atom_site_fract_z
Tb1 Tb 0.0000 0.0000 0.0796
Sc1 Sc 0.0000 0.0000 0.3506
Sb1 Sb 0.0000 0.0000 0.2233
# Raw formation energy (eV/atom): -0.44
# DFT total energy (eV for the cell shown): -98.46

---

Entry 4:
# PBE-GGA TbScSb, relaxed
data_TbScSb
_cell_length_a 3.383
_cell_length_b 5.629
_cell_length_c 17.087
_cell_angle_alpha 90.00
_cell_angle_beta 90.00
_cell_angle_gamma 90.00
_space_group_name_H-M_alt 'I m m m'
_space_group_IT_number 71
_space_group_name_Hall '-I 2 2'
loop_
_atom_site_label
_atom_site_type_symbol
_atom_site_fract_x
_atom_site_fract_y
_atom_site_fract_z
Tb1 Tb 0.000 0.000 0.165
Sc1 Sc 0.000 0.258 0.500
Sb1 Sb 0.000 0.000 0.346
# Raw formation energy (eV/atom): -0.43
# DFT total energy (eV for the cell shown): -65.50

---

Entry 5:
# PBE-GGA Tb2ScSb, relaxed
data_Tb2ScSb
_cell_length_a 3.9920
_cell_length_b 3.9920
_cell_length_c 27.2139
_cell_angle_alpha 90.00
_cell_angle_beta 90.00
_cell_angle_gamma 120.00
_space_group_name_H-M_alt 'R 3 m'
_space_group_IT_number 160
_space_group_name_Hall 'R 3 -2"'
loop_
_atom_site_label
_atom_site_type_symbol
_atom_site_fract_x
_atom_site_fract_y
_atom_site_fract_z
Tb1 Tb 0.0000 0.0000 0.0000
Tb2 Tb 0.0000 0.0000 0.1904
Sc1 Sc 0.0000 0.0000 0.4288
Sb1 Sb 0.0000 0.0000 0.5949
# Raw formation energy (eV/atom): -0.25
# DFT total energy (eV for the cell shown): -62.16

---

Entry 6:
# PBE-GGA Tb2ScSb, relaxed
data_Tb2ScSb
_cell_length_a 3.4441
_cell_length_b 3.4441
_cell_length_c 34.9326
_cell_angle_alpha 90.00
_cell_angle_beta 90.00
_cell_angle_gamma 120.00
_space_group_name_H-M_alt 'R -3 m'
_space_group_IT_number 166
_space_group_name_Hall '-R 3 2"'
loop_
_atom_site_label
_atom_site_type_symbol
_atom_site_fract_x
_atom_site_fract_y
_atom_site_fract_z
Tb1 Tb 0.0000 0.0000 0.0887
Sc1 Sc 0.0000 0.0000 0.5000
Sb1 Sb 0.0000 0.0000 0.0000
# Raw formation energy (eV/atom): 0.03
# DFT total energy (eV for the cell shown): -58.81

---

Entry 7:
# PBE-GGA Tb2ScSb3, relaxed
data_Tb2ScSb3
_cell_length_a 7.496
_cell_length_b 12.990
_cell_length_c 7.489
_cell_angle_alpha 90.00
_cell_angle_beta 109.54
_cell_angle_gamma 90.00
_space_group_name_H-M_alt 'C 1 2/m 1'
_space_group_IT_number 12
loop_
_space_group_symop_operation_xyz
'x,y,z'
'-x,-y,-z'
'-x,y,-z'
'x,-y,z'
'x+1/2,y+1/2,z'
'-x+1/2,-y+1/2,-z'
'-x+1/2,y+1/2,-z'
'x+1/2,-y+1/2,z'
loop_
_atom_site_label
_atom_site_type_symbol
_atom_site_fract_x
_atom_site_fract_y
_atom_site_fract_z
Tb1 Tb 0.000 0.000 0.000
Tb2 Tb 0.000 0.163 0.500
Tb3 Tb 0.000 0.500 0.500
Sc1 Sc 0.000 0.332 0.000
Sb1 Sb 0.236 0.500 0.237
Sb2 Sb 0.249 0.329 0.759
# Raw formation energy (eV/atom): -1.07
# DFT total energy (eV for the cell shown): -137.42

---

Entry 8:
# PBE-GGA TbScSb2, relaxed
data_TbScSb2
_cell_length_a 4.2877
_cell_length_b 4.2877
_cell_length_c 20.9574
_cell_angle_alpha 90.00
_cell_angle_beta 90.00
_cell_angle_gamma 120.00
_space_group_name_H-M_alt 'R -3 m'
_space_group_IT_number 166
_space_group_name_Hall '-R 3 2"'
loop_
_atom_site_label
_atom_site_type_symbol
_atom_site_fract_x
_atom_site_fract_y
_atom_site_fract_z
Tb1 Tb 0.0000 0.0000 0.0000
Sc1 Sc 0.0000 0.0000 0.5000
Sb1 Sb 0.0000 0.0000 0.2446
# Raw formation energy (eV/atom): -1.04
# DFT total energy (eV for the cell shown): -70.05

---

- Number 4 is which compound?
  TbScSb